# 1
Entry from Alexandria: Mn2BeCuIr after structural relaxation (PBE-GGA).

```
Mn2BeCuIr
1.0
4.146 0.000 0.000
0.000 4.146 0.000
0.000 0.000 4.050
Mn Be Cu Ir
2 1 1 1
direct
0.000 0.500 0.000
0.500 0.000 0.000
0.000 0.000 0.000
0.500 0.500 0.500
0.000 0.000 0.500
```

## Properties
Crystal system: tetragonal
ΔE_f: 0.490 eV per atom
Fermi-level density of states: 0.638 states/eV per atom
Space group: P4/mmm (123)

***

# 2
Entry from Alexandria: BeCuIr2N after structural relaxation (PBE-GGA).

```
BeCuIr2N
1.0
4.035 0.000 0.000
0.000 4.035 0.000
0.000 0.000 3.796
Be Cu Ir N
1 1 2 1
direct
0.000 0.000 0.000
0.500 0.500 0.000
0.000 0.500 0.500
0.500 0.000 0.500
0.500 0.500 0.500
```

## Properties
E_form (uncorrected): 478.1 meV/atom
Crystal system: tetragonal
Fermi-level density of states: 0.474 states/eV per atom
Space group: P4/mmm (123)

***

# 3
Entry from Alexandria: BeNbCuIr after structural relaxation (PBE-GGA).

```
BeNbCuIr
1.0
0.000 3.025 3.025
3.025 0.000 3.025
3.025 3.025 0.000
Be Nb Cu Ir
1 1 1 1
direct
0.000 0.000 0.000
0.500 0.500 0.500
0.250 0.250 0.250
0.750 0.750 0.750
```

## Properties
Crystal system: cubic
ΔE_f: -0.180 eV per atom
Fermi-level density of states: 1.023 states/eV per atom
Space group: F-43m (216)

***

# 4
Entry from Alexandria: BeCuNiIr after structural relaxation (PBE-GGA).

```
BeCuNiIr
1.0
0.000 2.837 2.837
2.837 0.000 2.837
2.837 2.837 0.000
Be Cu Ni Ir
1 1 1 1
direct
0.000 0.000 0.000
0.500 0.500 0.500
0.250 0.250 0.250
0.750 0.750 0.750
```

## Properties
Crystal system: cubic
ΔE_f: -0.085 eV per atom
Fermi-level density of states: 1.277 states/eV per atom
Space group: F-43m (216)

***

# 5
Entry from Alexandria: BeCuIrO6 after structural relaxation (PBE-GGA).

```
BeCuIrO6
1.0
4.802 0.000 0.000
-2.401 4.158 0.000
0.000 0.000 8.557
Be Cu Ir O
2 2 2 12
direct
0.333 0.667 0.250
0.667 0.333 0.750
0.000 0.000 0.000
0.000 0.000 0.500
0.333 0.667 0.750
0.667 0.333 0.250
0.014 0.359 0.131
0.014 0.655 0.369
0.345 0.359 0.369
0.345 0.986 0.131
0.359 0.014 0.631
0.359 0.345 0.869
0.641 0.655 0.131
0.641 0.986 0.369
0.655 0.014 0.869
0.655 0.641 0.631
0.986 0.345 0.631
0.986 0.641 0.869
```

## Properties
E_form (uncorrected): -778.1 meV/atom
Crystal system: trigonal
Fermi-level density of states: 0.645 states/eV per atom
Space group: P-31c (163)

***

# 6
Entry from Alexandria: BeCuIr2Pd after structural relaxation (PBE-GGA).

```
BeCuIr2Pd
1.0
4.476 0.000 0.000
0.000 4.476 0.000
0.000 0.000 4.472
Be Cu Ir Pd
1 1 2 1
direct
0.000 0.000 0.000
0.500 0.500 0.500
0.000 0.500 0.500
0.500 0.000 0.500
0.500 0.500 0.000
```

## Properties
Crystal system: tetragonal
ΔE_f: 1.590 eV per atom
Fermi-level density of states: 1.595 states/eV per atom
Space group: P4/mmm (123)

***

# 7
Entry from Alexandria: Pm2Be4CuIr3 after structural relaxation (PBE-GGA).

```
Pm2Be4CuIr3
1.0
3.959 0.000 0.000
0.000 3.959 0.000
0.000 0.000 9.698
Pm Be Cu Ir
2 4 1 3
direct
0.000 0.500 0.247
0.500 0.000 0.753
0.000 0.000 0.000
0.000 0.500 0.625
0.500 0.000 0.375
0.500 0.500 0.000
0.000 0.000 0.500
0.000 0.500 0.874
0.500 0.000 0.126
0.500 0.500 0.500
```

## Properties
Crystal system: tetragonal
ΔE_f: -0.506 eV per atom
Fermi-level density of states: 0.409 states/eV per atom
Space group: P-4m2 (115)

***

# 8
Entry from Alexandria: BeCuIr2Ru after structural relaxation (PBE-GGA).

```
BeCuIr2Ru
1.0
4.648 0.000 0.000
0.000 4.648 0.000
0.000 0.000 4.580
Be Cu Ir Ru
1 1 2 1
direct
0.000 0.000 0.000
0.500 0.500 0.000
0.000 0.500 0.500
0.500 0.000 0.500
0.500 0.500 0.500
```

## Properties
Crystal system: tetragonal
ΔE_f: 1.800 eV per atom
Fermi-level density of states: 0.913 states/eV per atom
Space group: P4/mmm (123)

***

# 9
Entry from Alexandria: Be2CuSiIr after structural relaxation (PBE-GGA).

```
Be2CuSiIr
1.0
3.860 0.000 0.000
0.000 3.860 0.000
0.000 0.000 4.683
Be Cu Si Ir
2 1 1 1
direct
0.000 0.500 0.000
0.500 0.000 0.000
0.000 0.000 0.000
0.500 0.500 0.500
0.000 0.000 0.500
```

## Properties
E_form (uncorrected): 798.0 meV/atom
Crystal system: tetragonal
Fermi-level density of states: 0.315 states/eV per atom
Space group: P4/mmm (123)

***

# 10
Entry from Alexandria: Sm2Be4CuIr3 after structural relaxation (PBE-GGA).

```
Sm2Be4CuIr3
1.0
3.948 0.000 0.000
0.000 3.948 0.000
0.000 0.000 9.679
Sm Be Cu Ir
2 4 1 3
direct
0.000 0.500 0.247
0.500 0.000 0.753
0.000 0.000 0.000
0.000 0.500 0.626
0.500 0.000 0.374
0.500 0.500 0.000
0.000 0.000 0.500
0.000 0.500 0.874
0.500 0.000 0.126
0.500 0.500 0.500
```

## Properties
Crystal system: tetragonal
ΔE_f: -0.519 eV per atom
Fermi-level density of states: 0.405 states/eV per atom
Space group: P-4m2 (115)

***

# 11
Entry from Alexandria: BeCu2TeIr after structural relaxation (PBE-GGA).

```
BeCu2TeIr
1.0
4.074 0.000 0.000
0.000 4.074 0.000
0.000 0.000 4.677
Be Cu Te Ir
1 2 1 1
direct
0.000 0.000 0.000
0.000 0.500 0.000
0.500 0.000 0.000
0.000 0.000 0.500
0.500 0.500 0.500
```

## Properties
E_form (uncorrected): 764.4 meV/atom
Crystal system: tetragonal
Fermi-level density of states: 0.609 states/eV per atom
Space group: P4/mmm (123)

***

# 12
Entry from Alexandria: Th2Be3CuIr4 after structural relaxation (PBE-GGA).

```
Th2Be3CuIr4
1.0
4.061 0.000 0.000
0.000 4.061 0.000
0.000 0.000 9.821
Th Be Cu Ir
2 3 1 4
direct
0.000 0.500 0.240
0.500 0.000 0.760
0.000 0.500 0.887
0.500 0.000 0.113
0.500 0.500 0.500
0.000 0.000 0.500
0.000 0.000 0.000
0.000 0.500 0.648
0.500 0.000 0.352
0.500 0.500 0.000
```

## Properties
Crystal system: tetragonal
ΔE_f: -0.635 eV per atom
Fermi-level density of states: 0.423 states/eV per atom
Space group: P-4m2 (115)

***

# 13
Entry from Alexandria: Th2Be4CuIr3 after structural relaxation (PBE-GGA).

```
Th2Be4CuIr3
1.0
3.978 0.000 0.000
0.000 3.978 0.000
0.000 0.000 9.809
Th Be Cu Ir
2 4 1 3
direct
0.000 0.500 0.250
0.500 0.000 0.750
0.000 0.000 0.000
0.000 0.500 0.619
0.500 0.000 0.381
0.500 0.500 0.000
0.000 0.000 0.500
0.000 0.500 0.867
0.500 0.000 0.133
0.500 0.500 0.500
```

## Properties
Crystal system: tetragonal
ΔE_f: -0.561 eV per atom
Fermi-level density of states: 0.450 states/eV per atom
Space group: P-4m2 (115)

***

# 14
Entry from Alexandria: TiBeCuIr after structural relaxation (PBE-GGA).

```
TiBeCuIr
1.0
0.000 2.955 2.955
2.955 0.000 2.955
2.955 2.955 0.000
Ti Be Cu Ir
1 1 1 1
direct
0.000 0.000 0.000
0.500 0.500 0.500
0.250 0.250 0.250
0.750 0.750 0.750
```

## Properties
Crystal system: cubic
ΔE_f: -0.409 eV per atom
Fermi-level density of states: 0.611 states/eV per atom
Space group: F-43m (216)

***

# 15
Entry from Alexandria: YBeCu2Ir after structural relaxation (PBE-GGA).

```
YBeCu2Ir
1.0
4.199 0.000 0.000
0.000 4.199 0.000
0.000 0.000 4.361
Y Be Cu Ir
1 1 2 1
direct
0.000 0.000 0.000
0.500 0.500 0.500
0.000 0.500 0.500
0.500 0.000 0.500
0.500 0.500 0.000
```

## Properties
Crystal system: tetragonal
ΔE_f: -0.223 eV per atom
Fermi-level density of states: 0.383 states/eV per atom
Space group: P4/mmm (123)

***

# 16
Entry from Alexandria: BeZnCuIr after structural relaxation (PBE-GGA).

```
BeZnCuIr
1.0
0.000 2.903 2.903
2.903 0.000 2.903
2.903 2.903 0.000
Be Zn Cu Ir
1 1 1 1
direct
0.000 0.000 0.000
0.500 0.500 0.500
0.250 0.250 0.250
0.750 0.750 0.750
```

## Properties
Crystal system: cubic
ΔE_f: -0.159 eV per atom
Fermi-level density of states: 0.593 states/eV per atom
Space group: F-43m (216)

***

# 17
Entry from Alexandria: KBe3Cu after structural relaxation (PBE-GGA).

```
KBe3Cu
1.0
5.606 0.000 0.000
0.000 5.606 0.000
0.000 0.000 5.606
K Be Cu
1 3 1
direct
0.000 0.000 0.000
0.000 0.000 0.500
0.000 0.500 0.000
0.500 0.000 0.000
0.500 0.500 0.500
```

## Properties
Crystal system: cubic
ΔE_f: 2.532 eV per atom
E above lowest polymorph: 1867 meV per atom
Fermi-level density of states: 0.397 states/eV per atom
Space group: Pm-3m (221)

***

# 18
Entry from Alexandria: K3BeCu after structural relaxation (PBE-GGA).

```
K3BeCu
1.0
6.200 0.000 0.000
0.000 6.200 0.000
0.000 0.000 6.200
K Be Cu
3 1 1
direct
0.000 0.000 0.500
0.000 0.500 0.000
0.500 0.000 0.000
0.500 0.500 0.500
0.000 0.000 0.000
```

## Properties
Crystal system: cubic
ΔE_f: 0.803 eV per atom
E above lowest polymorph: 0 meV per atom
Fermi-level density of states: 1.157 states/eV per atom
Space group: Pm-3m (221)

***

# 19
Entry from Alexandria: KBe3Cu after structural relaxation (PBE-GGA).

```
KBe3Cu
1.0
4.341 0.000 0.000
0.000 4.341 0.000
0.000 0.000 4.341
K Be Cu
1 3 1
direct
0.000 0.000 0.000
0.000 0.500 0.500
0.500 0.000 0.500
0.500 0.500 0.000
0.500 0.500 0.500
```

## Properties
Crystal system: cubic
ΔE_f: 0.666 eV per atom
E above lowest polymorph: 0 meV per atom
Fermi-level density of states: 0.079 states/eV per atom
Space group: Pm-3m (221)

***

# 20
Entry from Alexandria: KBeCu3 after structural relaxation (PBE-GGA).

```
KBeCu3
1.0
4.958 0.000 0.000
0.000 4.958 0.000
0.000 0.000 4.958
K Be Cu
1 1 3
direct
0.000 0.000 0.000
0.500 0.500 0.500
0.000 0.000 0.500
0.000 0.500 0.000
0.500 0.000 0.000
```

## Properties
Crystal system: cubic
ΔE_f: 2.067 eV per atom
E above lowest polymorph: 1602 meV per atom
Fermi-level density of states: 0.583 states/eV per atom
Space group: Pm-3m (221)